# 1
This record from Alexandria describes a relaxed ReAgIr3 crystal. The functional is PBE.

Cell lengths 4.7402, 4.7402, 4.7402 Å; angles 90.00, 90.00, 90.00 degrees
Closest atoms and distances in Å follow each position.
Fractional coordinates of all 5 atoms:
Re1 0.0000 0.0000 0.0000  6 Ir 2.37
Ag1 0.5000 0.5000 0.5000  12 Ir 3.35
Ir1 0.0000 0.0000 0.5000  2 Re 2.37
Ir2 0.0000 0.5000 0.0000  2 Re 2.37
Ir3 0.5000 0.0000 0.0000  2 Re 2.37

Values from the calculation:
M_tot: 0.00 μB/cell
ΔE_f: 778 kJ/mol of formula units
Relative energy among the computed polymorphs: 0.000 eV per atom
Space group: Pm-3m, No. 221


# 2
This record from Alexandria describes a relaxed KLiSnBr4 crystal. The functional is PBE.

Cell lengths 7.2504, 7.6979, 8.9315 Å; angles 90.00, 107.46, 90.00 degrees
Closest atoms and distances in Å follow each position.
Fractional coordinates of all 14 atoms:
K1 0.2321 0.2500 0.0493  6 Br 3.24-3.49
K2 0.7679 0.7500 0.9507  6 Br 3.24-3.49
Li1 0.2484 0.7500 0.3236  4 Br 2.48-2.53
Li2 0.7516 0.2500 0.6764  4 Br 2.48-2.53
Sn1 0.2157 0.2500 0.5365  4 Br 2.83-3.05
Sn2 0.7843 0.7500 0.4635  4 Br 2.83-3.05
Br1 0.0124 0.0002 0.2743  1 Li 2.53
Br2 0.0124 0.4998 0.2743  1 Li 2.53
Br3 0.4706 0.7500 0.1600  1 Li 2.48
Br4 0.4752 0.7500 0.5960  1 Li 2.49
Br5 0.5248 0.2500 0.4040  1 Li 2.49
Br6 0.5294 0.2500 0.8400  1 Li 2.48
Br7 0.9876 0.9998 0.7257  1 Li 2.53
Br8 0.9876 0.5002 0.7257  1 Li 2.53

Values from the calculation:
M_tot: 0.00 μB/cell
Space group: P2_1/m, No. 11
DFT total energy: -44.81 eV for the cell shown


# 3
This record from Alexandria describes a relaxed LiPr2UTe5 crystal. The functional is PBE.

Cell lengths 9.6832, 9.6832, 13.3171 Å; angles 90.00, 90.00, 153.55 degrees
Closest atoms and distances in Å follow each position.
Fractional coordinates of all 18 atoms:
Li1 0.0576 0.9424 0.5000  4 Te 2.65-2.89
Li2 0.9424 0.0576 0.0000  4 Te 2.65-2.89
Pr1 0.3728 0.6272 0.3414  8 Te 3.25-3.54
Pr2 0.3929 0.6071 0.7250  8 Te 3.28-3.43
Pr3 0.6071 0.3929 0.2250  8 Te 3.28-3.43
Pr4 0.6272 0.3728 0.8414  8 Te 3.25-3.54
U1 0.2992 0.7008 0.0481  6 Te 2.98-3.11
U2 0.7008 0.2992 0.5481  6 Te 2.98-3.11
Te1 0.0023 0.9977 0.8198  1 Li 2.65
Te2 0.1344 0.8656 0.0389  1 U 3.11, 4 Pr 3.36-3.44
Te3 0.1878 0.8122 0.3850  1 Li 2.89, 2 U 3.11
Te4 0.2157 0.7843 0.7079  2 U 3.08, 3 Pr 3.29-3.35
Te5 0.4510 0.5490 0.1097  2 Li 2.66, 1 U 2.98
Te6 0.5490 0.4510 0.6097  2 Li 2.66, 1 U 2.98
Te7 0.7843 0.2157 0.2079  2 U 3.08, 3 Pr 3.29-3.35
Te8 0.8122 0.1878 0.8850  1 Li 2.89, 2 U 3.11
Te9 0.8656 0.1344 0.5389  1 U 3.11, 4 Pr 3.36-3.44
Te10 0.9977 0.0023 0.3198  1 Li 2.65

Values from the calculation:
M_tot: 5.75 μB/cell
Space group: Cmc2_1, No. 36
DFT total energy: -96.66 eV for the cell shown


# 4
This record from Alexandria describes a relaxed Mo2Os2W crystal. The functional is PBE.

Cell lengths 7.4715, 7.4715, 7.4715 Å; angles 153.11, 153.11, 38.39 degrees
Closest atoms and distances in Å follow each position.
Fractional coordinates of all 5 atoms:
Mo1 0.0970 0.0970 0.0000  1 Mo 2.74, 4 Os 2.77, 4 W 2.81
Mo2 0.9030 0.9030 0.0000  1 Mo 2.74, 4 Os 2.77, 4 W 2.81
Os1 0.2500 0.7500 0.5000  4 Os 2.46
Os2 0.7500 0.2500 0.5000  4 Os 2.46
W1 0.5000 0.5000 0.0000  8 Mo 2.81

Values from the calculation:
M_tot: 0.00 μB/cell
ΔE_f: 409 kJ/mol of formula units
Relative energy among the computed polymorphs: 0.573 eV per atom
Space group: I4/mmm, No. 139


# 5
This record from Alexandria describes a relaxed BeMo2Os crystal. The functional is PBE.

Cell lengths 2.7084, 2.7084, 7.9934 Å; angles 90.00, 90.00, 108.61 degrees
Closest atoms and distances in Å follow each position.
Fractional coordinates of all 4 atoms:
Be1 0.0000 0.0000 0.0000  2 Os 2.34, 2 Mo 2.44
Mo1 0.0000 0.0000 0.4881  2 Os 2.69, 6 Mo 2.71-2.74
Mo2 0.5000 0.5000 0.7680  2 Be 2.44, 4 Mo 2.71
Os1 0.5000 0.5000 0.2156  2 Be 2.34

Values from the calculation:
M_tot: 0.04 μB/cell
ΔE_f: 71 kJ/mol of formula units
Space group: Cmm2, No. 35


# 6
This record from Alexandria describes a relaxed Cd2Pd5Au crystal. The functional is PBE.

Cell lengths 5.6943, 11.3937, 4.1163 Å; angles 90.00, 90.00, 90.00 degrees
Closest atoms and distances in Å follow each position.
Fractional coordinates of all 16 atoms:
Cd1 0.2345 0.1284 0.0000  10 Pd 2.82-2.88, 2 Au 2.94
Cd2 0.2655 0.6284 0.0000  10 Pd 2.82-2.88, 2 Au 2.94
Cd3 0.7345 0.3716 0.0000  10 Pd 2.82-2.88, 2 Au 2.94
Cd4 0.7655 0.8716 0.0000  10 Pd 2.82-2.88, 2 Au 2.94
Pd1 0.0000 0.0000 0.5000  2 Au 2.85, 6 Pd 2.85-2.91, 4 Cd 2.86
Pd2 0.0169 0.7501 0.5000  7 Pd 2.85-2.90, 1 Au 2.85, 4 Cd 2.86
Pd3 0.2393 0.3758 0.0000  4 Cd 2.82-2.88, 2 Au 2.85, 6 Pd 2.87-2.91
Pd4 0.2607 0.8758 0.0000  4 Cd 2.82-2.88, 2 Au 2.85, 6 Pd 2.87-2.91
Pd5 0.4831 0.2501 0.5000  7 Pd 2.85-2.90, 1 Au 2.85, 4 Cd 2.86
Pd6 0.5000 0.5000 0.5000  2 Au 2.85, 6 Pd 2.85-2.91, 4 Cd 2.86
Pd7 0.5169 0.7499 0.5000  7 Pd 2.85-2.90, 1 Au 2.85, 4 Cd 2.86
Pd8 0.7393 0.1242 0.0000  4 Cd 2.82-2.88, 2 Au 2.85, 6 Pd 2.87-2.91
Pd9 0.7607 0.6242 0.0000  4 Cd 2.82-2.88, 2 Au 2.85, 6 Pd 2.87-2.91
Pd10 0.9831 0.2499 0.5000  7 Pd 2.85-2.90, 1 Au 2.85, 4 Cd 2.86
Au1 0.0000 0.5000 0.5000  8 Pd 2.85, 4 Cd 2.94
Au2 0.5000 0.0000 0.5000  8 Pd 2.85, 4 Cd 2.94

Values from the calculation:
M_tot: 0.00 μB/cell
ΔE_f: -200 kJ/mol of formula units
Relative energy among the computed polymorphs: 0.000 eV per atom
Space group: Pbam, No. 55